Density functional theory data (PBE) for an optimized crystal structure of AgHg.

Lattice parameters (Å, degrees): 10.0292 10.0292 10.0292 18.04 18.04 18.04
Fractional positions:
Ag 0.2540 0.2540 0.2540
Ag 0.9960 0.9960 0.9960
Hg 0.5063 0.5063 0.5063
Hg 0.7437 0.7437 0.7437

Computed properties:
**Symmetry**: R-3m
**E**: -6.0 eV for the cell shown
**Energy above the lowest structure with this stoichiometry**: 13.9 meV/atom
**Formation energy from the elements**: 0.087 eV per atom

Density functional theory data (PBE) for an optimized crystal structure of AgHg.

Lattice parameters (Å, degrees): 5.6206 5.6206 5.8141 90.00 90.00 90.00
Fractional positions:
Hg 0.1888 0.1888 0.0000
Ag 0.3176 0.6824 0.0000
Ag 0.8176 0.8176 0.5000
Ag 0.1824 0.1824 0.5000
Hg 0.8112 0.8112 0.0000
Hg 0.6888 0.3112 0.5000
Ag 0.6824 0.3176 0.0000
Hg 0.3112 0.6888 0.5000

Computed properties:
**Symmetry**: P4_2/mnm
**E**: -11.1 eV for the cell shown
**Energy above the lowest structure with this stoichiometry**: 111.6 meV/atom
**Formation energy from the elements**: 0.185 eV per atom

Density functional theory data (PBE) for an optimized crystal structure of Ag3Hg.

Lattice parameters (Å, degrees): 3.1190 3.1190 7.8556 90.00 90.00 90.03
Fractional positions:
Ag 0.0000 0.0000 0.5104
Ag 0.0000 0.0000 0.9896
Hg 0.5000 0.5000 0.2500
Ag 0.5000 0.5000 0.7500

Computed properties:
**Symmetry**: P4/mmm
**E**: -8.6 eV for the cell shown
**Formation energy from the elements**: 0.055 eV per atom

Density functional theory data (PBE) for an optimized crystal structure of AgHg.

Lattice parameters (Å, degrees): 3.9636 16.1896 10.8706 90.00 90.00 90.00
Fractional positions:
Ag 0.5000 0.9034 0.0000
Hg 0.5000 0.5000 0.1454
Hg 0.0000 0.5000 0.3546
Hg 0.5000 0.0000 0.6454
Hg 0.2500 0.2500 0.8954
Ag 0.2500 0.6534 0.7500
Hg 0.0000 0.5000 0.6454
Ag 0.5000 0.0966 0.0000
Hg 0.5000 0.0000 0.3546
Ag 0.0000 0.0966 0.5000
Ag 0.2500 0.8466 0.7500
Hg 0.2500 0.2500 0.6046
Hg 0.0000 0.0000 0.1454
Ag 0.2500 0.3466 0.2500
Hg 0.7500 0.7500 0.6046
Ag 0.5000 0.4034 0.5000
Ag 0.0000 0.5966 0.0000
Ag 0.7500 0.8466 0.2500
Ag 0.2500 0.1534 0.2500
Ag 0.7500 0.6534 0.2500
Hg 0.7500 0.2500 0.1046
Ag 0.7500 0.1534 0.7500
Hg 0.2500 0.7500 0.3954
Hg 0.0000 0.0000 0.8546
Ag 0.7500 0.3466 0.7500
Ag 0.0000 0.4034 0.0000
Hg 0.7500 0.7500 0.8954
Ag 0.0000 0.9034 0.5000
Hg 0.7500 0.2500 0.3954
Hg 0.2500 0.7500 0.1046
Ag 0.5000 0.5966 0.5000
Hg 0.5000 0.5000 0.8546

Computed properties:
**Symmetry**: Fddd
**E**: -46.4 eV for the cell shown
**Energy above the lowest structure with this stoichiometry**: 52.9 meV/atom
**Formation energy from the elements**: 0.126 eV per atom

Density functional theory data (PBE) for an optimized crystal structure of AgHg.

Lattice parameters (Å, degrees): 3.1078 4.8365 5.3999 90.00 90.00 90.00
Fractional positions:
Hg 0.5000 0.0000 0.4910
Ag 0.0000 0.0000 0.0028
Hg 0.5000 0.5000 0.8423
Ag 0.0000 0.5000 0.3305

Computed properties:
**Symmetry**: Pmma
**E**: -6.0 eV for the cell shown
**Energy above the lowest structure with this stoichiometry**: 4.5 meV/atom
**Formation energy from the elements**: 0.078 eV per atom

Density functional theory data (PBE) for an optimized crystal structure of AgHg6.

Lattice parameters (Å, degrees): 7.2189 7.2189 7.2189 109.47 109.47 109.47
Fractional positions:
Hg 0.2500 0.5000 0.7500
Hg 0.5000 0.2500 0.7500
Hg 0.7500 0.2500 0.5000
Hg 0.5000 0.7500 0.2500
Hg 0.2500 0.7500 0.5000
Hg 0.7500 0.5000 0.2500
Ag 0.0000 0.0000 0.0000

Computed properties:
**Symmetry**: Im-3m
**E**: -2.0 eV for the cell shown
**Energy above the lowest structure with this stoichiometry**: 323.1 meV/atom
**Formation energy from the elements**: 0.384 eV per atom

Density functional theory data (PBE) for an optimized crystal structure of AgHg.

Lattice parameters (Å, degrees): 10.7689 10.7689 3.0574 90.00 90.00 90.00
Fractional positions:
Hg 0.6680 0.3935 0.5000
Hg 0.3320 0.6065 0.5000
Ag 0.8673 0.5887 0.5000
Ag 0.6354 0.9089 0.0000
Hg 0.3935 0.3320 0.5000
Hg 0.8953 0.8307 0.0000
Ag 0.0911 0.6354 0.0000
Hg 0.1047 0.1693 0.0000
Ag 0.3646 0.0911 0.0000
Ag 0.5887 0.1327 0.5000
Ag 0.4113 0.8673 0.5000
Hg 0.8307 0.1047 0.0000
Ag 0.9089 0.3646 0.0000
Hg 0.6065 0.6680 0.5000
Ag 0.1327 0.4113 0.5000
Hg 0.1693 0.8953 0.0000

Computed properties:
**Symmetry**: P4/m
**E**: -23.8 eV for the cell shown
**Energy above the lowest structure with this stoichiometry**: 18.1 meV/atom
**Formation energy from the elements**: 0.091 eV per atom

Density functional theory data (PBE) for an optimized crystal structure of Ag3Hg.

Lattice parameters (Å, degrees): 5.1145 9.8700 6.0218 90.00 90.00 90.00
Fractional positions:
Ag 0.5898 0.7500 0.3730
Ag 0.2461 0.4983 0.8740
Hg 0.5857 0.7500 0.8849
Hg 0.9143 0.2500 0.3849
Ag 0.7539 0.5017 0.1260
Ag 0.9102 0.2500 0.8730
Ag 0.7539 0.9983 0.1260
Ag 0.7461 0.4983 0.6260
Ag 0.2539 0.5017 0.3740
Hg 0.0857 0.7500 0.6151
Ag 0.0898 0.7500 0.1270
Ag 0.7461 0.0017 0.6260
Ag 0.2539 0.9983 0.3740
Ag 0.4102 0.2500 0.6270
Ag 0.2461 0.0017 0.8740
Hg 0.4143 0.2500 0.1151

Computed properties:
**Symmetry**: Pnma
**E**: -34.7 eV for the cell shown
**Formation energy from the elements**: 0.047 eV per atom

- What is the formation energy from the elements in the sixth record?
  0.384 eV per atom

- Which value of formation energy from the elements does entry 3 give?
  0.055 eV per atom

- What is the formula in the eighth record?
  Ag3Hg